i) SrY2Ag | the Alexandria database | GGA-PBEsol | optimized geometry; magnetic moment = 0.002 μB per atom; symmetry = P4mm (99)
1.0
3.665 0.000 0.000
0.000 3.665 0.000
0.000 0.000 9.033
Sr Y Ag
1 2 1
Cartesian
0.000 0.000 0.000
0.000 0.000 5.314
1.832 1.832 2.990
1.832 1.832 6.898

***

ii) SrY2Ag | the Alexandria database | GGA-PBEsol | optimized geometry; magnetic moment = 0.000 μB per atom; symmetry = R-3m (166)
1.0
1.873 1.082 10.587
-1.873 1.082 10.587
0.000 -2.163 10.587
Sr Y Ag
1 2 1
Cartesian
0.000 0.000 0.000
0.000 0.000 7.333
0.000 0.000 24.426
0.000 0.000 15.880

***

Most stable: i) (next structure +16.9 kJ/mol of atoms)

***

i) SrZr2Ag | the Alexandria database | GGA-PBEsol | optimized geometry; magnetic moment = 0.000 μB per atom; symmetry = Pmmm (47)
1.0
3.241 0.000 0.000
0.000 5.156 0.000
0.000 0.000 5.695
Sr Zr Ag
1 2 1
Cartesian
0.000 0.000 0.000
0.000 2.578 2.847
1.621 0.000 2.847
1.621 2.578 0.000

***

ii) SrZr2Ag | the Alexandria database | GGA-PBEsol | optimized geometry; magnetic moment = 0.006 μB per atom; symmetry = Pmmm (47)
1.0
3.191 0.000 0.000
0.000 4.010 0.000
0.000 0.000 8.040
Sr Zr Ag
1 2 1
Cartesian
0.000 0.000 0.000
1.596 2.005 2.634
1.596 2.005 5.406
0.000 0.000 4.020

***

Most stable: i) (next structure +5.9 kJ/mol of atoms)

***

i) Ta3Ag | the Alexandria database | GGA-PBEsol | optimized geometry; magnetic moment = 0.000 μB per atom; symmetry = I4/mmm (139)
1.0
-2.039 2.039 4.186
2.039 -2.039 4.186
2.039 2.039 -4.186
Ta Ag
3 1
Cartesian
0.000 0.000 0.000
2.039 0.000 2.093
0.000 2.039 2.093
0.000 0.000 4.186

***

ii) Ta3Ag | the Alexandria database | GGA-PBEsol | optimized geometry; magnetic moment = 0.000 μB per atom; symmetry = R-3m (166)
1.0
4.662 2.692 0.917
-4.662 2.692 0.917
0.000 -5.383 0.917
Ta Ag
3 1
Cartesian
-2.331 -1.346 0.917
-2.331 1.346 1.833
0.000 2.692 0.917
0.000 0.000 0.000

***

Most stable: ii) (next structure +5.2 kJ/mol of atoms)

***

i) TaTcAg | the Alexandria database | GGA-PBEsol | optimized geometry; magnetic moment = 0.000 μB per atom; symmetry = I4mm (107)
1.0
-1.347 1.347 6.584
1.347 -1.347 6.584
1.347 1.347 -6.584
Ta Tc Ag
1 1 1
Cartesian
0.000 0.000 0.000
0.000 0.000 8.761
0.000 0.000 4.329

***

ii) TaTcAg | the Alexandria database | GGA-PBEsol | optimized geometry; magnetic moment = 0.000 μB per atom; symmetry = P3m1 (156)
1.0
2.769 0.000 0.000
-1.385 2.398 0.000
0.000 0.000 7.243
Ta Tc Ag
1 1 1
Cartesian
0.000 0.000 0.000
1.385 0.799 4.871
0.000 1.599 2.488

***

Most stable: ii) (next structure +0.6 kJ/mol of atoms)

***

i) TaAg2W | the Alexandria database | GGA-PBEsol | optimized geometry; magnetic moment = 0.000 μB per atom; symmetry = P4/mmm (123)
1.0
2.700 0.000 0.000
0.000 2.700 0.000
0.000 0.000 8.943
Ta Ag W
1 2 1
Cartesian
0.000 0.000 0.000
1.350 1.350 2.266
1.350 1.350 6.678
0.000 0.000 4.472

***

ii) TaAg2W | the Alexandria database | GGA-PBEsol | optimized geometry; magnetic moment = 0.000 μB per atom; symmetry = C2/m (12)
1.0
2.683 -4.869 0.000
2.683 4.869 0.000
-0.929 0.000 2.528
Ta Ag W
1 2 1
Cartesian
0.000 0.000 0.000
0.877 2.435 1.264
0.877 -2.435 1.264
2.683 0.000 0.000

***

Most stable: ii) (next structure +3.5 kJ/mol of atoms)

***

i) TaAg2W | the Alexandria database | GGA-PBEsol | optimized geometry; magnetic moment = 0.000 μB per atom; symmetry = P4/mmm (123)
1.0
4.923 0.000 0.000
0.000 4.923 0.000
0.000 0.000 2.736
Ta Ag W
1 2 1
Cartesian
0.000 0.000 0.000
0.000 2.461 1.368
2.461 0.000 1.368
2.461 2.461 0.000

***

ii) TaAg2W | the Alexandria database | GGA-PBEsol | optimized geometry; magnetic moment = 0.000 μB per atom; symmetry = R-3m (166)
1.0
1.395 0.805 9.774
-1.395 0.805 9.774
0.000 -1.610 9.774
Ta Ag W
1 2 1
Cartesian
0.000 0.000 0.000
0.000 0.000 7.299
0.000 0.000 22.022
0.000 0.000 14.660

***

iii) TaAg2W | the Alexandria database | GGA-PBEsol | optimized geometry; magnetic moment = 0.001 μB per atom; symmetry = Imm2 (44)
1.0
-1.499 2.443 4.611
1.499 -2.443 4.611
1.499 2.443 -4.611
Ta Ag W
1 2 1
Cartesian
0.000 0.000 0.000
0.000 0.000 4.511
0.000 2.443 2.204
1.499 0.000 2.135

***

Most stable: ii) (next structure +15.2 kJ/mol of atoms)

***

i) YTaAg2 | the Alexandria database | GGA-PBEsol | optimized geometry; magnetic moment = 0.000 μB per atom; symmetry = P4/mmm (123)
1.0
2.968 0.000 0.000
0.000 2.968 0.000
0.000 0.000 8.606
Y Ta Ag
1 1 2
Cartesian
0.000 0.000 0.000
0.000 0.000 4.303
1.484 1.484 2.299
1.484 1.484 6.307

***

ii) YTaAg2 | the Alexandria database | GGA-PBEsol | optimized geometry; magnetic moment = 0.000 μB per atom; symmetry = Imm2 (44)
1.0
-1.512 2.521 5.100
1.512 -2.521 5.100
1.512 2.521 -5.100
Y Ta Ag
1 1 2
Cartesian
0.000 0.000 0.000
0.000 2.521 2.375
1.512 0.000 2.705
0.000 0.000 5.016

***

iii) YTaAg2 | the Alexandria database | GGA-PBEsol | optimized geometry; magnetic moment = 0.000 μB per atom; symmetry = Cm (8)
1.0
5.051 -1.482 0.000
5.051 1.482 0.000
-1.179 0.000 5.155
Y Ta Ag
1 1 2
Cartesian
0.000 0.000 0.000
7.311 0.000 1.669
1.493 0.000 4.077
4.572 0.000 2.581

***

Most stable: i) (next structure +7.5 kJ/mol of atoms)

***

i) Zr2TaAg | the Alexandria database | GGA-PBEsol | optimized geometry; magnetic moment = 0.000 μB per atom; symmetry = Pmmm (47)
1.0
3.141 0.000 0.000
0.000 3.538 0.000
0.000 0.000 7.055
Zr Ta Ag
2 1 1
Cartesian
0.000 0.000 1.712
0.000 0.000 5.343
1.570 1.769 0.000
1.570 1.769 3.528

***

ii) Zr2TaAg | the Alexandria database | GGA-PBEsol | optimized geometry; magnetic moment = 0.000 μB per atom; symmetry = Pmm2 (25)
1.0
3.074 0.000 0.000
0.000 3.855 0.000
0.000 0.000 6.489
Zr Ta Ag
2 1 1
Cartesian
0.000 0.000 0.000
1.537 1.927 1.757
1.537 1.927 4.899
0.000 0.000 3.362

***

Most stable: i) (next structure +14.5 kJ/mol of atoms)

***

i) Zr2TaAg | the Alexandria database | GGA-PBEsol | optimized geometry; magnetic moment = 0.000 μB per atom; symmetry = I-4m2 (119)
1.0
-2.076 2.076 4.475
2.076 -2.076 4.475
2.076 2.076 -4.475
Zr Ta Ag
2 1 1
Cartesian
0.000 0.000 0.000
0.000 2.076 2.237
2.076 0.000 2.237
0.000 0.000 4.475

***

ii) Zr2TaAg | the Alexandria database | GGA-PBEsol | optimized geometry; magnetic moment = 0.000 μB per atom; symmetry = P4/mmm (123)
1.0
4.747 0.000 0.000
0.000 4.747 0.000
0.000 0.000 3.411
Zr Ta Ag
2 1 1
Cartesian
0.000 2.374 0.000
2.374 0.000 0.000
0.000 0.000 1.705
2.374 2.374 1.705

***

Most stable: ii) (next structure +3.8 kJ/mol of atoms)

***

i) ZrTaAg2 | the Alexandria database | GGA-PBEsol | optimized geometry; magnetic moment = 0.000 μB per atom; symmetry = P4mm (99)
1.0
2.904 0.000 0.000
0.000 2.904 0.000
0.000 0.000 8.550
Zr Ta Ag
1 1 2
Cartesian
0.000 0.000 0.000
1.452 1.452 2.223
0.000 0.000 4.301
1.452 1.452 6.303

***

ii) ZrTaAg2 | the Alexandria database | GGA-PBEsol | optimized geometry; magnetic moment = 0.000 μB per atom; symmetry = Amm2 (38)
1.0
4.618 0.000 0.000
0.000 1.362 5.689
0.000 -1.362 5.689
Zr Ta Ag
1 1 2
Cartesian
0.000 0.000 0.000
2.309 0.000 3.941
0.000 0.000 8.456
2.309 0.000 6.969

***

Most stable: i) (next structure +12.1 kJ/mol of atoms)

***

i) Tc3Ag | the Alexandria database | GGA-PBEsol | optimized geometry; magnetic moment = 0.000 μB per atom; symmetry = Cmmm (65)
1.0
2.718 -3.888 0.000
2.718 3.888 0.000
0.000 0.000 2.723
Tc Ag
3 1
Cartesian
0.000 0.000 0.000
1.359 1.944 1.362
1.359 -1.944 1.362
2.718 0.000 0.000

***

ii) Tc3Ag | the Alexandria database | GGA-PBEsol | optimized geometry; magnetic moment = 0.000 μB per atom; symmetry = Pmm2 (25)
1.0
2.730 0.000 0.000
0.000 4.390 0.000
0.000 0.000 4.793
Tc Ag
3 1
Cartesian
0.000 0.000 0.000
0.000 2.195 1.509
1.365 2.195 3.982
1.365 0.000 2.384

***

Most stable: ii) (next structure +10.2 kJ/mol of atoms)

***

i) YTc2Ag | the Alexandria database | GGA-PBEsol | optimized geometry; magnetic moment = 0.000 μB per atom; symmetry = P4/mmm (123)
1.0
3.903 0.000 0.000
0.000 3.903 0.000
0.000 0.000 4.485
Y Tc Ag
1 2 1
Cartesian
0.000 0.000 0.000
0.000 1.952 2.243
1.952 0.000 2.243
1.952 1.952 0.000

***

ii) YTc2Ag | the Alexandria database | GGA-PBEsol | optimized geometry; magnetic moment = 0.486 μB per atom; symmetry = Fm-3m (225)
1.0
0.000 3.245 3.245
3.245 0.000 3.245
3.245 3.245 0.000
Y Tc Ag
1 2 1
Cartesian
0.000 0.000 0.000
1.622 1.622 1.622
4.867 4.867 4.867
3.245 3.245 3.245

***

Most stable: i) (next structure +33.6 kJ/mol of atoms)

***

i) ZrTcAg2 | the Alexandria database | GGA-PBEsol | optimized geometry; magnetic moment = 0.000 μB per atom; symmetry = Pmmm (47)
1.0
3.596 0.000 0.000
0.000 4.073 0.000
0.000 0.000 4.535
Zr Tc Ag
1 1 2
Cartesian
0.000 0.000 0.000
1.798 2.036 0.000
0.000 2.036 2.267
1.798 0.000 2.267

***

ii) ZrTcAg2 | the Alexandria database | GGA-PBEsol | optimized geometry; magnetic moment = 0.000 μB per atom; symmetry = R-3m (166)
1.0
1.397 0.807 9.874
-1.397 0.807 9.874
0.000 -1.614 9.874
Zr Tc Ag
1 1 2
Cartesian
0.000 0.000 0.000
0.000 0.000 14.811
0.000 0.000 7.285
0.000 0.000 22.338

***

Most stable: i) (next structure +27.5 kJ/mol of atoms)

***

i) ZrTc2Ag | the Alexandria database | GGA-PBEsol | optimized geometry; magnetic moment = 0.000 μB per atom; symmetry = R3m (160)
1.0
1.397 0.807 9.579
-1.397 0.807 9.579
0.000 -1.613 9.579
Zr Tc Ag
1 2 1
Cartesian
0.000 0.000 0.000
0.000 0.000 14.140
0.000 0.000 21.726
0.000 0.000 6.987

***

ii) ZrTc2Ag | the Alexandria database | GGA-PBEsol | optimized geometry; magnetic moment = 0.000 μB per atom; symmetry = Imm2 (44)
1.0
-1.870 2.171 3.997
1.870 -2.171 3.997
1.870 2.171 -3.997
Zr Tc Ag
1 2 1
Cartesian
0.000 0.000 0.000
0.000 0.000 4.275
0.000 2.171 1.963
1.870 0.000 2.150

***

Most stable: ii) (next structure +4.7 kJ/mol of atoms)